(1)
Crystalline Ac4Pr3UN8 at its relaxed geometry, computed with PBE.

Properties
Calculated total energy: -7.9834 eV/atom
Energy relative to the elements, uncorrected: -1192.0 meV per atom

The structure in POSCAR format:
```
Ac4Pr3UN8
1.0
-4.608 3.044 -4.992
-1.020 -6.765 -3.182
-1.299 0.868 7.279
Ac N Pr U
4 8 3 1
direct
0.500 0.000 0.500
0.000 0.000 0.500
0.500 0.000 0.000
0.000 0.000 0.000
0.783 0.290 0.008
0.218 0.710 0.435
0.746 0.737 0.491
0.254 0.263 0.509
0.225 0.290 0.008
0.782 0.290 0.565
0.217 0.710 0.992
0.775 0.710 0.992
0.000 0.500 0.500
0.500 0.500 0.000
0.500 0.500 0.500
0.000 0.500 0.000
```

---

(2)
Crystalline MgB2Ru at its relaxed geometry, computed with PBE.

Properties
DFT formation energy: 0.2937 eV/atom
Calculated total energy: -5.7626 eV/atom

The structure in POSCAR format:
```
MgB2Ru
1.0
-1.966 3.037 -1.581
-3.410 -1.904 0.582
-3.255 3.548 5.931
B Mg Ru
4 2 2
direct
0.375 0.125 0.750
0.875 0.125 0.750
0.875 0.125 0.250
0.875 0.625 0.250
0.500 0.500 0.000
0.250 0.750 0.500
0.000 0.000 0.000
0.750 0.250 0.500
```

---

(3)
Crystalline Ba3Bi4Pb4 at its relaxed geometry, computed with PBE.

Properties
DFT formation energy: -0.4750 eV/atom
Calculated total energy: -3.7591 eV/atom

The structure in POSCAR format:
```
Ba3Bi4Pb4
1.0
-4.452 0.933 -1.793
-4.142 -5.398 7.478
3.828 9.298 1.998
Pb Ba Bi
4 3 4
direct
0.682 0.471 0.364
0.318 0.108 0.636
0.318 0.529 0.636
0.682 0.892 0.364
0.000 0.500 0.000
0.886 0.886 0.771
0.114 0.114 0.229
0.500 0.779 0.000
0.784 0.284 0.567
0.500 0.221 0.000
0.216 0.716 0.433
```

---

(4)
Crystalline Ta2AgSb at its relaxed geometry, computed with PBE.

Properties
Calculated total energy: -7.0461 eV/atom
Energy relative to the elements, uncorrected: 623.6 meV per atom

The structure in POSCAR format:
```
Ta2AgSb
1.0
7.563 0.000 0.000
0.000 7.563 0.000
3.782 3.782 2.861
Ag Ta Sb
2 4 2
direct
0.250 0.750 0.500
0.500 0.500 0.000
0.875 0.877 0.750
0.123 0.625 0.250
0.627 0.125 0.250
0.375 0.373 0.750
0.000 0.000 0.000
0.750 0.250 0.500
```

---

(5)
Crystalline PuAgPtO6 at its relaxed geometry, computed with PBE.

Properties
Calculated total energy: -7.1405 eV/atom
Energy relative to the elements, uncorrected: -1254.6 meV per atom

The structure in POSCAR format:
```
PuAgPtO6
1.0
-3.142 0.216 4.275
2.522 -4.512 -1.216
8.035 2.941 5.757
Ag O Pu Pt
2 12 2 2
direct
0.000 0.000 0.000
0.000 0.000 0.500
0.003 0.647 0.359
0.644 0.997 0.359
0.356 0.353 0.859
0.353 0.997 0.141
0.997 0.644 0.859
0.644 0.647 0.141
0.647 0.644 0.641
0.003 0.356 0.141
0.647 0.003 0.859
0.353 0.356 0.359
0.356 0.003 0.641
0.997 0.353 0.641
0.667 0.333 0.250
0.333 0.667 0.750
0.667 0.333 0.750
0.333 0.667 0.250
```

---

(6)
Crystalline ScAsOs at its relaxed geometry, computed with PBE.

Properties
DFT formation energy: -0.0605 eV/atom
Calculated total energy: -7.4641 eV/atom

The structure in POSCAR format:
```
ScAsOs
1.0
3.276 0.000 0.000
-1.638 2.838 0.000
0.000 0.000 5.817
As Os Sc
1 1 1
direct
0.000 0.000 0.028
0.667 0.333 0.311
0.333 0.667 0.661
```

---

(7)
Crystalline Ac3Al2Cu3 at its relaxed geometry, computed with PBE.

Properties
DFT formation energy: -0.2628 eV/atom
Calculated total energy: -4.2752 eV/atom

The structure in POSCAR format:
```
Ac3Al2Cu3
1.0
-5.273 3.833 1.456
-2.937 -1.308 -7.191
-7.511 -12.353 5.314
Ac Cu Al
12 12 8
direct
0.139 0.103 0.750
0.143 0.536 0.108
0.857 0.464 0.608
0.361 0.603 0.750
0.861 0.897 0.250
0.643 0.964 0.608
0.643 0.964 0.892
0.143 0.536 0.392
0.357 0.036 0.392
0.639 0.397 0.250
0.857 0.464 0.892
0.357 0.036 0.108
0.424 0.744 0.250
0.414 0.625 0.543
0.586 0.375 0.457
0.914 0.875 0.043
0.576 0.256 0.750
0.414 0.625 0.957
0.086 0.125 0.543
0.076 0.244 0.250
0.924 0.756 0.750
0.914 0.875 0.457
0.586 0.375 0.043
0.086 0.125 0.957
0.640 0.681 0.416
0.360 0.319 0.584
0.860 0.181 0.416
0.860 0.181 0.084
0.140 0.819 0.584
0.140 0.819 0.916
0.640 0.681 0.084
0.360 0.319 0.916
```

---

(8)
Crystalline Pu3Sb4Pd2 at its relaxed geometry, computed with PBE.

Properties
Calculated total energy: -8.3443 eV/atom
Energy relative to the elements, uncorrected: -580.9 meV per atom

The structure in POSCAR format:
```
Pu3Sb4Pd2
1.0
-1.194 -0.364 4.476
-0.578 -5.457 -3.010
8.491 1.545 2.391
Pu Pd Sb
3 2 4
direct
0.633 0.266 0.690
0.000 0.000 0.000
0.367 0.734 0.310
0.689 0.377 0.378
0.311 0.623 0.622
0.698 0.396 0.080
0.074 0.148 0.385
0.302 0.604 0.920
0.926 0.852 0.615
```

---

(9)
Crystalline Cs2UHg2S6 at its relaxed geometry, computed with PBE.

Properties
Calculated total energy: -4.2771 eV/atom
Energy relative to the elements, uncorrected: -789.5 meV per atom

The structure in POSCAR format:
```
Cs2UHg2S6
1.0
7.714 0.000 0.000
3.857 6.680 0.000
3.857 2.227 7.113
S U Hg Cs
6 1 2 2
direct
0.223 0.775 0.227
0.775 0.775 0.227
0.777 0.225 0.773
0.225 0.225 0.773
0.775 0.223 0.227
0.225 0.777 0.773
0.000 0.000 0.000
0.400 0.400 0.801
0.600 0.600 0.199
0.780 0.780 0.659
0.220 0.220 0.341
```

---

(10)
Crystalline MnZnHg2 at its relaxed geometry, computed with PBE.

Properties
DFT formation energy: 0.2648 eV/atom
Excess energy over the best structure of this formula in the dataset: 60 meV per atom
Calculated total energy: -2.4970 eV/atom

The structure in POSCAR format:
```
MnZnHg2
1.0
4.836 0.025 0.007
3.749 3.055 0.007
1.082 0.388 5.295
Hg Mn Zn
2 1 1
direct
0.498 0.498 0.502
0.002 0.002 0.998
0.750 0.750 0.750
0.250 0.250 0.250
```

---

(11)
Crystalline Sm2TcGe4Pt3 at its relaxed geometry, computed with PBE.

Properties
DFT formation energy: -0.8301 eV/atom
Calculated total energy: -6.4697 eV/atom

The structure in POSCAR format:
```
Sm2TcGe4Pt3
1.0
4.289 0.000 0.000
0.000 4.289 0.000
0.000 0.000 10.321
Pt Ge Sm Tc
3 4 2 1
direct
0.000 0.000 0.500
0.500 0.000 0.868
0.000 0.500 0.132
0.500 0.000 0.628
0.000 0.000 0.000
0.000 0.500 0.372
0.500 0.500 0.000
0.500 0.000 0.247
0.000 0.500 0.753
0.500 0.500 0.500
```

---

(12)
Crystalline LaTeO2 at its relaxed geometry, computed with PBE.

Properties
Excess energy over the best structure of this formula in the dataset: 799 meV per atom
Calculated total energy: -5.8934 eV/atom
Energy relative to the elements, uncorrected: -1397.0 meV per atom

The structure in POSCAR format:
```
LaTeO2
1.0
2.567 0.000 3.922
-1.284 2.223 3.922
-1.284 -2.223 3.922
O La Te
2 1 1
direct
0.208 0.208 0.208
0.792 0.792 0.792
0.000 0.000 0.000
0.500 0.500 0.500
```